No. 1
The following is a DFT calculation (GGA-PBE) of crystalline SnBr3F at its relaxed geometry.

Summary:
crystal system: cubic
energy relative to the lowest polymorph listed for this composition: 1000 meV/atom
raw formation energy: -31.9 kJ/mol of formula units
space group: Pm-3m (221)

a = 5.0251 Å, b = 5.0251 Å, c = 5.0251 Å
α = 90.00°, β = 90.00°, γ = 90.00°
Sites, in units of the cell vectors:
Sn 0.0000 0.0000 0.0000
Br 0.0000 0.5000 0.5000
Br 0.5000 0.0000 0.5000
Br 0.5000 0.5000 0.0000
F 0.5000 0.5000 0.5000

No. 2
The following is a DFT calculation (GGA-PBE) of crystalline SrHf2Au at its relaxed geometry.

Summary:
crystal system: tetragonal
formation enthalpy at 0 K: 0.37 eV per atom
energy relative to the lowest polymorph listed for this composition: 0 meV/atom
space group: I-42d (122)

a = 11.7400 Å, b = 11.7400 Å, c = 11.7400 Å
α = 159.17°, β = 159.17°, γ = 29.63°
Sites, in units of the cell vectors:
Sr 0.0000 0.0000 0.0000
Sr 0.7500 0.2500 0.5000
Hf 0.1446 0.6250 0.0196
Hf 0.3750 0.3946 0.5196
Hf 0.6054 0.1250 0.9804
Hf 0.8750 0.8554 0.4804
Au 0.2500 0.7500 0.5000
Au 0.5000 0.5000 0.0000

No. 3
The following is a DFT calculation (GGA-PBE) of crystalline ZrTiNO2 at its relaxed geometry.

Summary:
crystal system: tetragonal
raw formation energy: -888.8 kJ/mol of formula units
space group: P4/mmm (123)

a = 3.7461 Å, b = 3.7461 Å, c = 4.0747 Å
α = 90.00°, β = 90.00°, γ = 90.00°
Sites, in units of the cell vectors:
Zr 0.0000 0.0000 0.0000
Ti 0.5000 0.5000 0.5000
N 0.5000 0.5000 0.0000
O 0.0000 0.5000 0.5000
O 0.5000 0.0000 0.5000

No. 4
The following is a DFT calculation (GGA-PBE) of crystalline Ca2Nd3Tl4 at its relaxed geometry.

Summary:
crystal system: orthorhombic
formation enthalpy at 0 K: -0.23 eV per atom
energy relative to the lowest polymorph listed for this composition: 118 meV/atom
space group: Cmce (64)

a = 9.1223 Å, b = 9.1223 Å, c = 9.6020 Å
α = 90.00°, β = 90.00°, γ = 131.56°
Sites, in units of the cell vectors:
Ca 0.1090 0.8910 0.9322
Ca 0.3910 0.6090 0.4322
Ca 0.6090 0.3910 0.5678
Ca 0.8910 0.1090 0.0678
Nd 0.0000 0.0000 0.5000
Nd 0.0344 0.4656 0.7500
Nd 0.4656 0.0344 0.2500
Nd 0.5000 0.5000 0.0000
Nd 0.5344 0.9656 0.7500
Nd 0.9656 0.5344 0.2500
Tl 0.1902 0.8098 0.5320
Tl 0.2251 0.2749 0.7500
Tl 0.2749 0.2251 0.2500
Tl 0.3098 0.6902 0.0320
Tl 0.6902 0.3098 0.9680
Tl 0.7251 0.7749 0.7500
Tl 0.7749 0.7251 0.2500
Tl 0.8098 0.1902 0.4680

No. 5
The following is a DFT calculation (GGA-PBE) of crystalline NaSrCu3 at its relaxed geometry.

Summary:
crystal system: cubic
formation enthalpy at 0 K: 0.59 eV per atom
energy relative to the lowest polymorph listed for this composition: 0 meV/atom
space group: Pm-3m (221)

a = 4.9359 Å, b = 4.9359 Å, c = 4.9359 Å
α = 90.00°, β = 90.00°, γ = 90.00°
Sites, in units of the cell vectors:
Na 0.0000 0.0000 0.0000
Sr 0.5000 0.5000 0.5000
Cu 0.0000 0.0000 0.5000
Cu 0.0000 0.5000 0.0000
Cu 0.5000 0.0000 0.0000

No. 6
The following is a DFT calculation (GGA-PBE) of crystalline Cu2SnHO at its relaxed geometry.

Summary:
crystal system: tetragonal
space group: P4/mmm (123)

a = 3.4208 Å, b = 3.4208 Å, c = 5.4213 Å
α = 90.00°, β = 90.00°, γ = 90.00°
Sites, in units of the cell vectors:
Cu 0.0000 0.5000 0.0000
Cu 0.5000 0.0000 0.0000
Sn 0.0000 0.0000 0.5000
H 0.5000 0.5000 0.0000
O 0.5000 0.5000 0.5000

No. 7
The following is a DFT calculation (GGA-PBE) of crystalline LaCdGa at its relaxed geometry.

Summary:
crystal system: orthorhombic
formation enthalpy at 0 K: -0.47 eV per atom
space group: Pnma (62)

a = 6.4891 Å, b = 5.1202 Å, c = 9.2622 Å
α = 90.00°, β = 90.00°, γ = 90.00°
Sites, in units of the cell vectors:
La 0.2165 0.2500 0.0800
La 0.2835 0.7500 0.5800
La 0.7165 0.2500 0.4200
La 0.7835 0.7500 0.9200
Cd 0.0087 0.2500 0.7235
Cd 0.4913 0.7500 0.2235
Cd 0.5087 0.2500 0.7765
Cd 0.9913 0.7500 0.2765
Ga 0.2022 0.2500 0.4103
Ga 0.2978 0.7500 0.9103
Ga 0.7022 0.2500 0.0897
Ga 0.7978 0.7500 0.5897

No. 8
The following is a DFT calculation (GGA-PBE) of crystalline SrHoCuAg at its relaxed geometry.

Summary:
crystal system: cubic
formation enthalpy at 0 K: -0.10 eV per atom
space group: F-43m (216)

a = 5.2067 Å, b = 5.2067 Å, c = 5.2067 Å
α = 60.00°, β = 60.00°, γ = 60.00°
Sites, in units of the cell vectors:
Sr 0.0000 0.0000 0.0000
Ho 0.5000 0.5000 0.5000
Cu 0.7500 0.7500 0.7500
Ag 0.2500 0.2500 0.2500

The evaluated electronic total energy for the records listed, in turn: -11.2, -46.7, -43.9, -59.6, -12.3, -20.9, -41.1, -13.6 eV/cell.